Entry 1:
A relaxed structure of LiAl5Ga, computed with PBE-GGA.

Values from the calculation:
formation energy from the elements = 0.364 eV per atom
total energy = -3.015 eV/atom
ρ = 2.03 Mg/m³
space-group type = Imm2

POSCAR file:
```
LiAl5Ga
1.0
-0.9275 5.3849 0.3506
-5.7796 -1.2652 4.1426
5.8737 -1.8587 1.3310
Al Li Ga
5 1 1
Direct
0.1395 0.1916 0.0000 Al
0.9071 0.7496 0.4991 Al
0.1395 0.8084 0.0000 Al
0.3984 0.5000 0.0000 Al
0.4080 0.2504 0.5009 Al
0.6375 0.0000 0.0000 Li
0.9009 0.5000 0.0000 Ga
```

---

Entry 2:
A relaxed structure of TlBiRhN2, computed with PBE-GGA.

Values from the calculation:
formation energy without anion corrections = 607 kJ/mol of formula units
total energy = -4.791 eV/atom
ρ = 9.62 Mg/m³
space-group type = P4/mmm

POSCAR file:
```
TlBiRhN2
1.0
4.0678 0.0000 0.0000
0.0000 4.0678 0.0000
0.0000 0.0000 5.6804
Rh Tl N Bi
1 1 2 1
Direct
0.0000 0.0000 0.0000 Rh
0.0000 0.0000 0.5000 Tl
0.0000 0.5000 0.0000 N
0.5000 0.0000 0.0000 N
0.5000 0.5000 0.5000 Bi
```

---

Entry 3:
A relaxed structure of Ba2SrSiO, computed with PBE-GGA.

Values from the calculation:
formation energy without anion corrections = -566 kJ/mol of formula units
total energy = -4.355 eV/atom
ρ = 4.50 Mg/m³
space-group type = P4/mmm

POSCAR file:
```
Ba2SrSiO
1.0
-4.8627 2.3658 -0.1528
-2.3643 -4.8138 0.7095
0.1650 0.6667 5.0726
O Ba Si Sr
1 2 1 1
Direct
0.0000 0.0000 0.0000 O
0.5000 0.0000 0.0000 Ba
0.0000 0.5000 0.0000 Ba
0.5000 0.5000 0.5000 Si
0.0000 0.0000 0.5000 Sr
```

---

Entry 4:
A relaxed structure of TiZn3Rh, computed with PBE-GGA.

Values from the calculation:
distance to the lowest polymorph of the same formula = 70.3 kJ per mole of atoms
formation energy from the elements = 0.446 eV per atom
total energy = -3.367 eV/atom
ρ = 5.77 Mg/m³
space-group type = Pm-3m

POSCAR file:
```
TiZn3Rh
1.0
4.6389 0.0000 0.0000
0.0000 4.6389 0.0000
0.0000 0.0000 4.6389
Zn Ti Rh
3 1 1
Direct
0.5000 0.0000 0.0000 Zn
0.0000 0.5000 0.0000 Zn
0.0000 0.0000 0.5000 Zn
0.5000 0.5000 0.5000 Ti
0.0000 0.0000 0.0000 Rh
```

---

Entry 5:
A relaxed structure of Na3P4Pd7, computed with PBE-GGA.

Values from the calculation:
formation energy from the elements = -0.473 eV per atom
total energy = -4.898 eV/atom
ρ = 6.82 Mg/m³
space-group type = C2/m

POSCAR file:
```
Na3P4Pd7
1.0
3.8478 0.0000 0.9707
1.3748 7.3473 2.6619
-0.0030 0.1500 8.1235
Pd P Na
7 4 3
Direct
0.0000 0.0000 0.0000 Pd
0.4910 0.2505 0.7674 Pd
0.1734 0.5746 0.0786 Pd
0.8266 0.4254 0.9214 Pd
0.6996 0.1437 0.4572 Pd
0.5090 0.7495 0.2326 Pd
0.3004 0.8563 0.5428 Pd
0.6661 0.4391 0.2287 P
0.1087 0.1057 0.6770 P
0.3339 0.5609 0.7713 P
0.8913 0.8943 0.3230 P
0.3300 0.1722 0.1677 Na
0.0000 0.5000 0.5000 Na
0.6700 0.8278 0.8323 Na
```

---

Entry 6:
A relaxed structure of PrBi4Pd15, computed with PBE-GGA.

Values from the calculation:
formation energy from the elements = -0.331 eV per atom
total energy = -5.241 eV/atom
ρ = 11.91 Mg/m³
space-group type = P4/mmm

POSCAR file:
```
PrBi4Pd15
1.0
-1.4886 -2.8426 -2.6643
-1.6426 -2.1284 3.1886
-17.4749 10.8195 -1.7799
Pd Bi Pr
15 4 1
Direct
0.0000 0.5000 0.3015 Pd
0.5000 0.5000 0.2048 Pd
0.5000 0.5000 0.4007 Pd
0.5000 0.0000 0.5000 Pd
0.0000 0.5000 0.8960 Pd
0.5000 0.5000 0.5993 Pd
0.0000 0.5000 0.1040 Pd
0.5000 0.5000 0.0000 Pd
0.5000 0.0000 0.1040 Pd
0.0000 0.5000 0.5000 Pd
0.5000 0.5000 0.7952 Pd
0.5000 0.0000 0.8960 Pd
0.5000 0.0000 0.6985 Pd
0.5000 0.0000 0.3015 Pd
0.0000 0.5000 0.6985 Pd
0.0000 0.0000 0.2013 Bi
0.0000 0.0000 0.4006 Bi
0.0000 0.0000 0.5994 Bi
0.0000 0.0000 0.7987 Bi
0.0000 0.0000 0.0000 Pr
```

---

Entry 7:
A relaxed structure of BaZn2PH2, computed with PBE-GGA.

Values from the calculation:
total energy = -3.016 eV/atom
ρ = 4.64 Mg/m³
space-group type = P2_1/m

POSCAR file:
```
BaZn2PH2
1.0
5.6351 0.0000 0.0000
0.0000 6.4779 -0.3462
0.0000 -2.7001 6.0494
H Zn P Ba
4 4 2 2
Direct
0.2500 0.1916 0.3857 H
0.7500 0.3715 0.3138 H
0.7500 0.8084 0.6143 H
0.2500 0.6285 0.6862 H
0.0012 0.1839 0.2108 Zn
0.4988 0.1839 0.2108 Zn
0.5012 0.8161 0.7892 Zn
0.9988 0.8161 0.7892 Zn
0.2500 0.1729 0.8956 P
0.7500 0.8271 0.1044 P
0.7500 0.2857 0.7043 Ba
0.2500 0.7143 0.2957 Ba
```

---

Entry 8:
A relaxed structure of DyMn2GeC, computed with PBE-GGA.

Values from the calculation:
formation energy from the elements = -0.407 eV per atom
total energy = -7.764 eV/atom
ρ = 8.27 Mg/m³
space-group type = Cmcm

POSCAR file:
```
DyMn2GeC
1.0
3.7433 0.0000 0.0000
-1.8716 5.3560 0.0000
0.0000 0.0000 7.1510
Mn Ge C Dy
4 2 2 2
Direct
0.8346 0.6691 0.0610 Mn
0.8346 0.6691 0.4390 Mn
0.1655 0.3309 0.9390 Mn
0.1655 0.3309 0.5610 Mn
0.2620 0.5240 0.2500 Ge
0.7380 0.4760 0.7500 Ge
0.0000 0.0000 0.0000 C
0.0000 0.0000 0.5000 C
0.5408 0.0816 0.2500 Dy
0.4592 0.9184 0.7500 Dy
```